Here is a geometry-optimized Pm3WSe2O6 structure from Alexandria. Energies are from PBE with a Hubbard U.

a b c (Å): 6.928 6.928 5.567
angles (deg): 97.19 97.19 57.44
Fractional coordinates of all 12 atoms:
Pm 0.000 0.000 0.000
Pm 0.000 0.500 0.500
Pm 0.500 0.000 0.500
W 0.500 0.500 0.500
Se 0.221 0.221 0.902
Se 0.779 0.779 0.098
O 0.223 0.669 0.697
O 0.331 0.777 0.303
O 0.347 0.347 0.336
O 0.653 0.653 0.664
O 0.669 0.223 0.697
O 0.777 0.331 0.303

Results
space group	C2/m
raw total energy	-6.987	eV/atom
density of states at the Fermi level	0.498	states/eV per atom
spin magnetization	0.000	μB per cell